Entry 1:
First-principles (PBE-GGA) data for crystalline CsPm2Pb2O6 at its relaxed geometry, as listed in Alexandria via LeMat-Bulk.

a b c (Å): 6.534 8.066 7.778
angles (deg): 131.55 89.99 66.11
Sites, in units of the cell vectors:
O1 0.980 0.538 0.849
O2 0.020 0.462 0.151
O3 0.134 0.847 0.536
O4 0.519 0.348 0.035
O5 0.481 0.652 0.965
O6 0.866 0.153 0.464
Cs1 0.500 0.000 0.500
Pb1 0.715 0.568 0.680
Pb2 0.285 0.432 0.320
Pm1 0.144 0.710 0.140
Pm2 0.856 0.290 0.860

Output
As for the uncorrected formation energy: -1.999 eV per atom. As for the symmetry: P-1. The density of states at the Fermi level comes out at 0.513 states/eV/atom.

---

Entry 2:
First-principles (PBE-GGA) data for crystalline Cs3PmPb2O6 at its relaxed geometry, as listed in Alexandria via LeMat-Bulk.

a b c (Å): 6.634 6.634 7.933
angles (deg): 90.00 90.00 120.00
Sites, in units of the cell vectors:
O1 0.836 0.671 0.676
O2 0.164 0.329 0.324
O3 0.329 0.164 0.676
O4 0.836 0.164 0.676
O5 0.671 0.836 0.324
O6 0.164 0.836 0.324
Pb1 0.667 0.333 0.784
Pb2 0.333 0.667 0.216
Pm1 0.000 0.000 0.500
Cs1 0.333 0.667 0.668
Cs2 0.667 0.333 0.332
Cs3 0.000 0.000 0.000

Output
As for the uncorrected formation energy: -1.525 eV per atom. As for the symmetry: P-3m1. The density of states at the Fermi level comes out at 0.382 states/eV/atom.

---

Entry 3:
First-principles (PBE-GGA) data for crystalline CsPrPbO3 at its relaxed geometry, as listed in Alexandria via LeMat-Bulk.

a b c (Å): 3.716 10.130 7.660
angles (deg): 91.92 90.00 90.00
Sites, in units of the cell vectors:
Pr1 0.750 0.363 0.903
Pr2 0.250 0.637 0.097
O1 0.250 0.504 0.833
O2 0.250 0.814 0.332
O3 0.750 0.496 0.167
O4 0.750 0.777 0.006
O5 0.250 0.223 0.994
O6 0.750 0.186 0.668
Cs1 0.250 0.295 0.370
Cs2 0.750 0.705 0.630
Pb1 0.250 0.075 0.778
Pb2 0.750 0.925 0.222

Output
As for the uncorrected formation energy: -2.045 eV per atom. As for the symmetry: P2_1/m. The density of states at the Fermi level comes out at 0.000 states/eV/atom.

---

Entry 4:
First-principles (PBE-GGA) data for crystalline Cs2PtPbO4 at its relaxed geometry, as listed in Alexandria via LeMat-Bulk.

a b c (Å): 6.367 7.849 12.023
angles (deg): 83.83 74.65 66.07
Sites, in units of the cell vectors:
Cs1 0.178 0.000 0.645
Cs2 0.822 0.000 0.355
Cs3 0.572 0.500 0.855
Cs4 0.928 0.500 0.145
Pb1 0.000 0.000 0.000
Pb2 0.750 0.500 0.500
O1 0.175 0.189 0.997
O2 0.575 0.311 0.503
O3 0.636 0.189 0.003
O4 0.362 0.811 0.003
O5 0.388 0.689 0.497
O6 0.114 0.311 0.497
O7 0.923 0.689 0.503
O8 0.827 0.811 0.997
Pt1 0.500 0.000 0.000
Pt2 0.250 0.500 0.500

Output
As for the uncorrected formation energy: -0.895 eV per atom. As for the symmetry: Fddd.

---

Entry 5:
First-principles (PBE-GGA) data for crystalline CsPuPb2O6 at its relaxed geometry, as listed in Alexandria via LeMat-Bulk.

a b c (Å): 6.216 6.216 7.137
angles (deg): 64.20 64.19 59.98
Sites, in units of the cell vectors:
Cs1 0.788 0.788 0.637
O1 0.688 0.182 0.814
O2 0.516 0.328 0.187
O3 0.969 0.516 0.187
O4 0.328 0.969 0.187
O5 0.182 0.316 0.814
O6 0.316 0.687 0.814
Pu1 0.331 0.331 0.006
Pb1 0.998 0.998 0.005
Pb2 0.545 0.545 0.364

Output
As for the uncorrected formation energy: -1.771 eV per atom. As for the symmetry: R3.

---

Entry 6:
First-principles (PBE-GGA) data for crystalline CsPu2PbO8 at its relaxed geometry, as listed in Alexandria via LeMat-Bulk.

a b c (Å): 6.189 6.189 7.556
angles (deg): 90.00 90.00 120.00
Sites, in units of the cell vectors:
O1 0.388 0.330 0.884
O2 0.943 0.612 0.884
O3 0.612 0.670 0.116
O4 0.333 0.667 0.701
O5 0.667 0.333 0.299
O6 0.057 0.388 0.116
O7 0.330 0.943 0.116
O8 0.670 0.057 0.884
Pu1 0.333 0.667 0.949
Pu2 0.667 0.333 0.051
Cs1 0.000 0.000 0.500
Pb1 0.000 0.000 0.000

Output
As for the uncorrected formation energy: -1.893 eV per atom. As for the symmetry: P-3. The density of states at the Fermi level comes out at 0.389 states/eV/atom.

---

Entry 7:
First-principles (PBE-GGA) data for crystalline Cs2RbPb3O8 at its relaxed geometry, as listed in Alexandria via LeMat-Bulk.

a b c (Å): 6.904 6.904 8.223
angles (deg): 65.18 65.18 60.00
Sites, in units of the cell vectors:
Pb1 0.998 0.499 0.004
Pb2 0.499 0.998 0.004
Pb3 0.499 0.499 0.004
Cs1 0.129 0.129 0.612
Cs2 0.499 0.499 0.502
O1 0.678 0.239 0.844
O2 0.316 0.761 0.162
O3 0.239 0.678 0.844
O4 0.239 0.239 0.844
O5 0.761 0.316 0.162
O6 0.275 0.275 0.174
O7 0.723 0.723 0.831
O8 0.761 0.761 0.162
Rb1 0.876 0.876 0.372

Output
As for the uncorrected formation energy: -0.980 eV per atom. As for the symmetry: R3m. The density of states at the Fermi level comes out at 0.414 states/eV/atom.

---

Entry 8:
First-principles (PBE-GGA) data for crystalline CsRbPbO3 at its relaxed geometry, as listed in Alexandria via LeMat-Bulk.

a b c (Å): 6.073 7.108 7.766
angles (deg): 62.77 84.63 78.19
Sites, in units of the cell vectors:
O1 0.514 0.145 0.081
O2 0.250 0.796 0.408
O3 0.750 0.204 0.592
O4 0.486 0.855 0.919
O5 0.014 0.226 0.919
O6 0.986 0.774 0.081
Cs1 0.250 0.592 0.816
Cs2 0.750 0.408 0.184
Rb1 0.750 0.778 0.444
Rb2 0.250 0.222 0.556
Pb1 0.250 0.947 0.107
Pb2 0.750 0.053 0.893

Output
As for the uncorrected formation energy: -1.180 eV per atom. As for the symmetry: C2/c.

---

Entry 9:
First-principles (PBE-GGA) data for crystalline CsRbPbO2 at its relaxed geometry, as listed in Alexandria via LeMat-Bulk.

a b c (Å): 3.859 7.653 11.075
angles (deg): 111.35 90.00 104.60
Sites, in units of the cell vectors:
Cs1 0.352 0.704 0.365
Cs2 0.648 0.296 0.635
O1 0.455 0.911 0.648
O2 0.545 0.089 0.352
O3 0.136 0.273 0.843
O4 0.864 0.727 0.157
Pb1 0.022 0.043 0.230
Pb2 0.978 0.957 0.770
Rb1 0.339 0.678 0.963
Rb2 0.661 0.322 0.037

Output
As for the uncorrected formation energy: -1.139 eV per atom. As for the symmetry: C2/m.

---

Entry 10:
First-principles (PBE-GGA) data for crystalline CsRePbO4 at its relaxed geometry, as listed in Alexandria via LeMat-Bulk.

a b c (Å): 7.462 6.036 7.636
angles (deg): 90.00 105.34 90.00
Sites, in units of the cell vectors:
O1 0.642 0.250 0.823
O2 0.358 0.750 0.177
O3 0.950 0.049 0.665
O4 0.050 0.549 0.335
O5 0.401 0.750 0.586
O6 0.950 0.451 0.665
O7 0.050 0.951 0.335
O8 0.599 0.250 0.414
Pb1 0.177 0.250 0.538
Pb2 0.823 0.750 0.462
Re1 0.741 0.250 0.637
Re2 0.259 0.750 0.363
Cs1 0.273 0.250 0.054
Cs2 0.727 0.750 0.946

Output
As for the uncorrected formation energy: -1.385 eV per atom. As for the symmetry: P2_1/m.

---

Entry 11:
First-principles (PBE-GGA) data for crystalline Cs2RePbO6 at its relaxed geometry, as listed in Alexandria via LeMat-Bulk.

a b c (Å): 6.034 6.706 6.706
angles (deg): 120.00 90.00 90.00
Sites, in units of the cell vectors:
O1 0.808 0.131 0.263
O2 0.192 0.263 0.131
O3 0.808 0.131 0.869
O4 0.192 0.869 0.131
O5 0.808 0.737 0.869
O6 0.192 0.869 0.737
Cs1 0.853 0.667 0.333
Cs2 0.147 0.333 0.667
Pb1 0.500 0.000 0.000
Re1 0.000 0.000 0.000

Output
As for the uncorrected formation energy: -1.411 eV per atom. As for the symmetry: P-3m1. The density of states at the Fermi level comes out at 0.603 states/eV/atom.

---

Entry 12:
First-principles (PBE-GGA) data for crystalline CsRuPbO6 at its relaxed geometry, as listed in Alexandria via LeMat-Bulk.

a b c (Å): 5.675 5.675 6.429
angles (deg): 90.00 90.00 60.00
Sites, in units of the cell vectors:
Pb1 0.667 0.667 0.500
O1 0.040 0.561 0.680
O2 0.399 0.040 0.680
O3 0.561 0.399 0.680
O4 0.561 0.040 0.320
O5 0.399 0.561 0.320
O6 0.040 0.399 0.320
Ru1 0.333 0.333 0.500
Cs1 0.000 0.000 0.000

Output
As for the uncorrected formation energy: -0.886 eV per atom. As for the symmetry: P312. The density of states at the Fermi level comes out at 0.367 states/eV/atom.

---

Q: What is the uncorrected formation energy in the fifth record?
A: -1.771 eV per atom

---

Repeat the second record exactly.
First-principles (PBE-GGA) data for crystalline Cs3PmPb2O6 at its relaxed geometry, as listed in Alexandria via LeMat-Bulk.

a b c (Å): 6.634 6.634 7.933
angles (deg): 90.00 90.00 120.00
Sites, in units of the cell vectors:
O1 0.836 0.671 0.676
O2 0.164 0.329 0.324
O3 0.329 0.164 0.676
O4 0.836 0.164 0.676
O5 0.671 0.836 0.324
O6 0.164 0.836 0.324
Pb1 0.667 0.333 0.784
Pb2 0.333 0.667 0.216
Pm1 0.000 0.000 0.500
Cs1 0.333 0.667 0.668
Cs2 0.667 0.333 0.332
Cs3 0.000 0.000 0.000

Output
As for the uncorrected formation energy: -1.525 eV per atom. As for the symmetry: P-3m1. The density of states at the Fermi level comes out at 0.382 states/eV/atom.

---

Q: Which formula does entry 12 have?
A: CsRuPbO6

---

Q: The highest uncorrected formation energy belongs to which entry?
A: CsRuPbO6